*P*
A plane-wave DFT calculation with PBE was carried out for a geometry-optimized Na2LiLa2 structure.

spin magnetization: 0.0 μB/cell

abc: 4.1671 4.1671 19.4761
angles: 90.00 90.00 90.00
With the nearest neighbours (Å) after each atom.
Space group I4/mmm (No. 139)
Asymmetric unit:
Na 0.0000 0.5000 0.2500 (multiplicity 4)  4 Na 2.95
Li 0.0000 0.0000 0.0000 (multiplicity 2)  8 La 3.34
La 0.0000 0.0000 0.4189 (multiplicity 4)  1 La 3.16, 4 Li 3.34


*Q*
A plane-wave DFT calculation with PBE was carried out for a geometry-optimized Na2LiLa2 structure.

spin magnetization: 0.0 μB/cell

abc: 10.0653 10.0653 3.6309
angles: 90.00 90.00 90.00
With the nearest neighbours (Å) after each atom.
Space group P4/mbm (No. 127)
Asymmetric unit:
Na 0.1893 0.3107 0.0000 (multiplicity 4)  6 La 3.48-3.56, 2 Na 3.63
Li 0.0000 0.0000 0.5000 (multiplicity 2)  2 Li 3.63
La 0.1019 0.6019 0.5000 (multiplicity 4)  1 La 2.90


*R*
A plane-wave DFT calculation with PBE was carried out for a geometry-optimized Na2LiLa2 structure.

spin magnetization: 0.0 μB/cell

abc: 7.2709 7.2709 6.1369
angles: 90.00 90.00 90.00
With the nearest neighbours (Å) after each atom.
Space group P4/mbm (No. 127)
Asymmetric unit:
Na 0.1417 0.3583 0.0000 (multiplicity 4)  2 Li 2.80, 1 Na 2.91
Li 0.0000 0.0000 0.0000 (multiplicity 2)  4 Na 2.80
La 0.1725 0.6725 0.5000 (multiplicity 4)  5 La 3.55-3.81, 6 Na 3.62-3.83


*R* is the most stable structure; the next one sits 0.070 eV/atom above it.


*P*
A plane-wave DFT calculation with PBE was carried out for a geometry-optimized NaLi2La2 structure.

spin magnetization: 0.0 μB/cell

abc: 3.5666 3.5666 24.0988
angles: 90.00 90.00 90.00
With the nearest neighbours (Å) after each atom.
Space group I4/mmm (No. 139)
Asymmetric unit:
Na 0.0000 0.0000 0.0000 (multiplicity 2)  4 Na 3.57, 8 La 3.93
Li 0.0000 0.5000 0.2500 (multiplicity 4)  4 Li 2.52
La 0.0000 0.0000 0.3749 (multiplicity 4)  4 Li 3.50, 4 La 3.57


*Q*
A plane-wave DFT calculation with PBE was carried out for a geometry-optimized NaLi2La2 structure.

spin magnetization: 0.0 μB/cell

abc: 9.1953 9.1953 3.6713
angles: 90.00 90.00 90.00
With the nearest neighbours (Å) after each atom.
Space group P4/mbm (No. 127)
Asymmetric unit:
Na 0.0000 0.0000 0.0000 (multiplicity 2)  4 Li 3.40, 2 Na 3.67
Li 0.1722 0.3278 0.0000 (multiplicity 4)  6 La 3.28, 2 Na 3.40, 2 Li 3.67
La 0.1186 0.6186 0.5000 (multiplicity 4)  1 La 3.08, 6 Li 3.28


*Q* is the most stable structure; the next one sits 0.045 eV/atom above it.


*P*
A plane-wave DFT calculation with PBE was carried out for a geometry-optimized NaLiLa2Ti4O12 structure.

spin magnetization: 0.0 μB/cell

abc: 5.4461 5.4466 7.9949
angles: 89.31 89.57 89.38
With the nearest neighbours (Å) after each atom.
Space group P1 (No. 1)
Asymmetric unit:
Na 0.0000 0.0000 0.0000 (multiplicity 1)  3 O 2.31-2.45
Li 0.0550 0.0629 0.5602 (multiplicity 1)  4 O 2.09-2.27
La 0.5032 0.4965 0.9846 (multiplicity 1)  8 O 2.47-2.77
La 0.5259 0.5171 0.4797 (multiplicity 1)  8 O 2.44-2.72
Ti 0.0088 0.5244 0.7359 (multiplicity 1)  4 O 1.83-1.98
Ti 0.0144 0.4988 0.2416 (multiplicity 1)  5 O 1.85-2.00
Ti 0.5024 0.0092 0.2408 (multiplicity 1)  5 O 1.84-2.00
Ti 0.5164 0.0084 0.7384 (multiplicity 1)  5 O 1.84-2.05
O 0.0501 0.4373 0.4679 (multiplicity 1)  1 Ti 1.85
O 0.2399 0.2238 0.7591 (multiplicity 1)  2 Ti 1.91-2.06, 1 Li 2.09
O 0.2462 0.2341 0.1683 (multiplicity 1)  2 Ti 1.93-2.00
O 0.2907 0.7128 0.2188 (multiplicity 1)  2 Ti 1.92-2.00
O 0.3211 0.7058 0.7194 (multiplicity 1)  2 Ti 1.98
O 0.4497 0.0393 0.4678 (multiplicity 1)  1 Ti 1.84
O 0.5612 0.9606 0.9638 (multiplicity 1)  1 Ti 1.84
O 0.7246 0.3041 0.7194 (multiplicity 1)  2 Ti 1.97-1.98
O 0.7271 0.2759 0.2158 (multiplicity 1)  2 Ti 1.92-2.00
O 0.7665 0.7530 0.2603 (multiplicity 1)  2 Ti 1.93-2.00
O 0.8093 0.7950 0.6630 (multiplicity 1)  2 Ti 1.91-2.05
O 0.9754 0.5547 0.9631 (multiplicity 1)  1 Ti 1.83


*Q*
A plane-wave DFT calculation with PBE was carried out for a geometry-optimized NaLiLa2Ti4O12 structure.

spin magnetization: 0.0 μB/cell

abc: 7.8364 7.8364 3.9043
angles: 90.00 90.00 90.00
With the nearest neighbours (Å) after each atom.
Space group P4/mmm (No. 123)
Asymmetric unit:
Na 0.0000 0.0000 0.0000 (multiplicity 1)  12 O 2.66-2.88
Li 0.5000 0.5000 0.5000 (multiplicity 1)  4 O 1.99
La 0.0000 0.5000 0.0000 (multiplicity 2)  12 O 2.66-2.77
Ti 0.2485 0.2485 0.5000 (multiplicity 4)  6 O 1.95-1.97
O 0.0000 0.2700 0.5000 (multiplicity 4)  2 Ti 1.95
O 0.2400 0.2400 0.0000 (multiplicity 4)  2 Ti 1.95
O 0.2465 0.5000 0.5000 (multiplicity 4)  2 Ti 1.97, 1 Li 1.99


*P* is the most stable structure; the next one sits 0.015 eV/atom above it.


*P*
A plane-wave DFT calculation with PBE was carried out for a geometry-optimized Li2LaNb structure.

spin magnetization: 0.0 μB/cell

abc: 4.1207 4.1207 22.6701
angles: 90.00 90.00 90.00
With the nearest neighbours (Å) after each atom.
Space group I-42d (No. 122)
Asymmetric unit:
Li 0.2032 0.2500 0.1250 (multiplicity 8)  2 Li 2.65
La 0.0000 0.0000 0.5000 (multiplicity 4)  4 Nb 2.91, 4 Li 3.25
Nb 0.0000 0.0000 0.0000 (multiplicity 4)  4 La 2.91, 4 Li 3.13


*Q*
A plane-wave DFT calculation with PBE was carried out for a geometry-optimized Li2LaNb structure.

spin magnetization: 0.0 μB/cell

abc: 6.9519 6.9519 6.9519
angles: 90.00 90.00 90.00
With the nearest neighbours (Å) after each atom.
Space group Fm-3m (No. 225)
Asymmetric unit:
Li 0.2500 0.2500 0.2500 (multiplicity 8)  4 Nb 3.01, 4 La 3.01
La 0.0000 0.0000 0.0000 (multiplicity 4)  8 Li 3.01
Nb 0.0000 0.0000 0.5000 (multiplicity 4)  8 Li 3.01


*Q* is the most stable structure; the next one sits 0.110 eV/atom above it.


*P*
A plane-wave DFT calculation with PBE was carried out for a geometry-optimized Li2LaNb2 structure.

spin magnetization: 0.0 μB/cell

abc: 3.8385 3.8385 14.3784
angles: 90.00 90.00 90.00
With the nearest neighbours (Å) after each atom.
Space group I4/mmm (No. 139)
Asymmetric unit:
Li 0.0000 0.0000 0.1034 (multiplicity 4)  4 Nb 2.85, 1 Li 2.97, 4 La 3.09
La 0.0000 0.0000 0.5000 (multiplicity 2)  8 Li 3.09
Nb 0.0000 0.5000 0.2500 (multiplicity 4)  4 Nb 2.71, 4 Li 2.85


*Q*
A plane-wave DFT calculation with PBE was carried out for a geometry-optimized Li2LaNb2 structure.

spin magnetization: 0.1 μB/cell

abc: 8.4875 8.4875 2.8260
angles: 90.00 90.00 90.00
With the nearest neighbours (Å) after each atom.
Space group P4/mbm (No. 127)
Asymmetric unit:
Li 0.1800 0.3200 0.0000 (multiplicity 4)  2 Li 2.83, 6 Nb 2.87-2.91, 2 La 3.12
La 0.0000 0.0000 0.0000 (multiplicity 2)  2 La 2.83, 4 Li 3.12
Nb 0.1116 0.6116 0.5000 (multiplicity 4)  3 Nb 2.68-2.83, 6 Li 2.87-2.91


*P* is the most stable structure; the next one sits 0.069 eV/atom above it.


*P*
A plane-wave DFT calculation with PBE was carried out for a geometry-optimized Li3LaNb structure.

spin magnetization: 4.2 μB/cell

abc: 5.0797 5.0797 5.0797
angles: 90.00 90.00 90.00
With the nearest neighbours (Å) after each atom.
Space group Pm-3m (No. 221)
Asymmetric unit:
Li 0.0000 0.0000 0.5000 (multiplicity 3)  2 Nb 2.54
La 0.5000 0.5000 0.5000 (multiplicity 1)  12 Li 3.59
Nb 0.0000 0.0000 0.0000 (multiplicity 1)  6 Li 2.54


*Q*
A plane-wave DFT calculation with PBE was carried out for a geometry-optimized Li3LaNb structure.

spin magnetization: 1.0 μB/cell

abc: 4.7662 4.7662 4.7662
angles: 90.00 90.00 90.00
With the nearest neighbours (Å) after each atom.
Space group Pm-3m (No. 221)
Asymmetric unit:
Li 0.0000 0.0000 0.5000 (multiplicity 3)  2 La 2.38
La 0.0000 0.0000 0.0000 (multiplicity 1)  6 Li 2.38
Nb 0.5000 0.5000 0.5000 (multiplicity 1)  12 Li 3.37


*P* is the most stable structure; the next one sits 0.631 eV/atom above it.


*P*
A plane-wave DFT calculation with PBE was carried out for a geometry-optimized LiLaNb3 structure.

spin magnetization: 0.8 μB/cell

abc: 4.7141 4.7141 4.7141
angles: 90.00 90.00 90.00
With the nearest neighbours (Å) after each atom.
Space group Pm-3m (No. 221)
Asymmetric unit:
Li 0.0000 0.0000 0.0000 (multiplicity 1)  6 Nb 2.36
La 0.5000 0.5000 0.5000 (multiplicity 1)  12 Nb 3.33
Nb 0.0000 0.0000 0.5000 (multiplicity 3)  2 Li 2.36


*Q*
A plane-wave DFT calculation with PBE was carried out for a geometry-optimized LiLaNb3 structure.

spin magnetization: 0.0 μB/cell

abc: 4.9260 4.9260 4.9260
angles: 90.00 90.00 90.00
With the nearest neighbours (Å) after each atom.
Space group Pm-3m (No. 221)
Asymmetric unit:
Li 0.0000 0.0000 0.0000 (multiplicity 1)  12 Nb 3.48
La 0.5000 0.5000 0.5000 (multiplicity 1)  6 Nb 2.46
Nb 0.0000 0.5000 0.5000 (multiplicity 3)  2 La 2.46


*P* is the most stable structure; the next one sits 0.596 eV/atom above it.


*P*
A plane-wave DFT calculation with PBE was carried out for a geometry-optimized LiLaNd2 structure.

spin magnetization: 0.0 μB/cell

abc: 5.8916 5.8916 3.7049
angles: 90.00 90.00 90.00
With the nearest neighbours (Å) after each atom.
Space group P4/mmm (No. 123)
Asymmetric unit:
Li 0.0000 0.0000 0.0000 (multiplicity 1)  8 Nd 3.48, 2 Li 3.70
La 0.5000 0.5000 0.0000 (multiplicity 1)  8 Nd 3.48, 2 La 3.70
Nd 0.0000 0.5000 0.5000 (multiplicity 2)  4 La 3.48, 4 Li 3.48, 2 Nd 3.70


*Q*
A plane-wave DFT calculation with PBE was carried out for a geometry-optimized LiLaNd2 structure.

spin magnetization: 0.3 μB/cell

abc: 3.6127 3.6127 35.0403
angles: 90.00 90.00 120.00
With the nearest neighbours (Å) after each atom.
Space group R3m (No. 160, hexagonal axes)
Asymmetric unit:
Li 0.0000 0.0000 0.0000 (multiplicity 3)  6 Nd 3.45, 6 Li 3.61
La 0.0000 0.0000 0.8331 (multiplicity 3)  6 La 3.61, 6 Nd 3.72-3.74
Nd 0.0000 0.0000 0.4118 (multiplicity 3)  3 Li 3.45, 6 Nd 3.61, 3 La 3.72
Nd 0.0000 0.0000 0.5884 (multiplicity 3)  3 Li 3.45, 6 Nd 3.61, 3 La 3.74


*R*
A plane-wave DFT calculation with PBE was carried out for a geometry-optimized LiLaNd2 structure.

spin magnetization: 0.0 μB/cell

abc: 3.4747 3.4747 37.2647
angles: 90.00 90.00 120.00
With the nearest neighbours (Å) after each atom.
Space group R-3m (No. 166, hexagonal axes)
Asymmetric unit:
Li 0.0000 0.0000 0.0000 (multiplicity 3)  6 Nd 3.43, 6 Li 3.47
La 0.0000 0.0000 0.5000 (multiplicity 3)  2 Nd 3.43, 6 La 3.47
Nd 0.0000 0.0000 0.4079 (multiplicity 6)  3 Li 3.43, 1 La 3.43, 6 Nd 3.47


*S*
A plane-wave DFT calculation with PBE was carried out for a geometry-optimized LiLaNd2 structure.

spin magnetization: 0.0 μB/cell

abc: 3.7544 3.7544 9.0279
angles: 90.00 90.00 90.00
With the nearest neighbours (Å) after each atom.
Space group P4/mmm (No. 123)
Asymmetric unit:
Li 0.0000 0.0000 0.0000 (multiplicity 1)  8 Nd 3.32
La 0.0000 0.0000 0.5000 (multiplicity 1)  8 Nd 3.66, 4 La 3.75
Nd 0.5000 0.5000 0.2203 (multiplicity 2)  4 Li 3.32, 4 La 3.66


*S* is the most stable structure; the next one sits 0.043 eV/atom above it.


*P*
A plane-wave DFT calculation with PBE was carried out for a geometry-optimized LiLaNd2 structure.

spin magnetization: 0.0 μB/cell

abc: 3.5983 3.5983 12.0852
angles: 90.00 90.00 120.00
With the nearest neighbours (Å) after each atom.
Space group P3m1 (No. 156)
Asymmetric unit:
Li 0.0000 0.0000 0.0000 (multiplicity 1)  4 Nd 3.26-3.52, 6 Li 3.60
La 0.3333 0.6667 0.4842 (multiplicity 1)  6 La 3.60, 6 Nd 3.62-3.66
Nd 0.0000 0.0000 0.7299 (multiplicity 1)  1 Li 3.26, 6 Nd 3.60, 3 La 3.62
Nd 0.6667 0.3333 0.2347 (multiplicity 1)  3 Li 3.52, 6 Nd 3.60, 3 La 3.66


*Q*
A plane-wave DFT calculation with PBE was carried out for a geometry-optimized LiLaNd2 structure.

spin magnetization: 5.0 μB/cell

abc: 7.9806 7.9806 7.9806
angles: 90.00 90.00 90.00
With the nearest neighbours (Å) after each atom.
Space group Fm-3m (No. 225)
Asymmetric unit:
Li 0.0000 0.0000 0.0000 (multiplicity 4)  8 Nd 3.46
La 0.0000 0.0000 0.5000 (multiplicity 4)  8 Nd 3.46
Nd 0.2500 0.2500 0.2500 (multiplicity 8)  4 La 3.46, 4 Li 3.46


*P* is the most stable structure; the next one sits 0.074 eV/atom above it.


*P*
A plane-wave DFT calculation with PBE was carried out for a geometry-optimized Li2LaNd structure.

spin magnetization: 0.4 μB/cell

abc: 3.8663 3.8663 7.6174
angles: 90.00 90.00 90.00
With the nearest neighbours (Å) after each atom.
Space group P4/mmm (No. 123)
Asymmetric unit:
Li 0.0000 0.0000 0.2464 (multiplicity 2)  4 Nd 3.32, 4 La 3.35
La 0.5000 0.5000 0.5000 (multiplicity 1)  8 Li 3.35
Nd 0.5000 0.5000 0.0000 (multiplicity 1)  8 Li 3.32


*Q*
A plane-wave DFT calculation with PBE was carried out for a geometry-optimized Li2LaNd structure.

spin magnetization: 0.3 μB/cell

abc: 3.3915 3.3915 36.6395
angles: 90.00 90.00 120.00
With the nearest neighbours (Å) after each atom.
Space group R-3m (No. 166, hexagonal axes)
Asymmetric unit:
Li 0.0000 0.0000 0.0892 (multiplicity 6)  1 La 3.27, 6 Li 3.39, 3 Nd 3.45
La 0.0000 0.0000 0.0000 (multiplicity 3)  2 Li 3.27, 6 La 3.39
Nd 0.0000 0.0000 0.5000 (multiplicity 3)  6 Nd 3.39, 6 Li 3.45


*P* is the most stable structure; the next one sits 0.097 eV/atom above it.


*P*
A plane-wave DFT calculation with PBE was carried out for a geometry-optimized LiLaNi3 structure.

spin magnetization: 0.0 μB/cell

abc: 4.2660 4.2660 4.2660
angles: 90.00 90.00 90.00
With the nearest neighbours (Å) after each atom.
Space group Pm-3m (No. 221)
Asymmetric unit:
Li 0.0000 0.0000 0.0000 (multiplicity 1)  6 Ni 2.13
La 0.5000 0.5000 0.5000 (multiplicity 1)  12 Ni 3.02
Ni 0.0000 0.0000 0.5000 (multiplicity 3)  2 Li 2.13


*Q*
A plane-wave DFT calculation with PBE was carried out for a geometry-optimized LiLaNi3 structure.

spin magnetization: 0.0 μB/cell

abc: 4.8463 4.8463 4.8463
angles: 90.00 90.00 90.00
With the nearest neighbours (Å) after each atom.
Space group Pm-3m (No. 221)
Asymmetric unit:
Li 0.0000 0.0000 0.0000 (multiplicity 1)  12 Ni 3.43
La 0.5000 0.5000 0.5000 (multiplicity 1)  6 Ni 2.42
Ni 0.0000 0.5000 0.5000 (multiplicity 3)  2 La 2.42


*P* is the most stable structure; the next one sits 0.938 eV/atom above it.